Entry 1:
This record from the Alexandria database describes Si2TcCl after structural relaxation. The functional is GGA-PBE.

The relative energy among the computed polymorphs is 0.440 eV/atom. Its total magnetization is 0.00 μB/cell. Its space group is C2/m. The value obtained for the density of states at the Fermi level is 2.51 states/eV/cell. The value obtained for the formation energy without anion corrections is 0.43 eV/atom. The total energy comes out at -21.4 eV/cell.

a b c (Å): 4.8633 4.8633 4.4565
angles (deg): 82.25 82.25 35.81
Closest atoms and distances in Å follow each position.
Positions (direct):
Cl 0.7500 0.7500 0.7500  2 Si 2.53, 4 Tc 2.68
Tc 0.2500 0.2500 0.2500  6 Si 2.60-2.90, 4 Cl 2.68
Si 0.5305 0.5305 0.4686  1 Cl 2.53, 2 Si 2.58, 2 Tc 2.60
Si 0.9695 0.9695 0.0314  1 Cl 2.53, 2 Si 2.58, 2 Tc 2.60


Entry 2:
This record from the Alexandria database describes SiTcCl after structural relaxation. The functional is GGA-PBE.

The relative energy among the computed polymorphs is 0.920 eV/atom. Its total magnetization is 0.00 μB/cell. Its space group is P-6m2. The value obtained for the density of states at the Fermi level is 2.84 states/eV/cell. The value obtained for the formation energy without anion corrections is 0.46 eV/atom. The total energy comes out at -16.2 eV/cell.

a b c (Å): 4.2566 4.2566 2.8735
angles (deg): 90.00 90.00 120.00
Closest atoms and distances in Å follow each position.
Positions (direct):
Cl 0.0000 0.0000 0.8334  3 Tc 2.46
Tc 0.3333 0.6667 0.8329  3 Cl 2.46
Si 0.6667 0.3333 0.3338  6 Tc 2.85, 6 Cl 2.85, 2 Si 2.87


Entry 3:
This record from the Alexandria database describes SiTcCl2 after structural relaxation. The functional is GGA-PBE.

The relative energy among the computed polymorphs is 0.154 eV/atom. Its total magnetization is 0.00 μB/cell. Its space group is C2/m. The value obtained for the density of states at the Fermi level is 1.65 states/eV/cell. The value obtained for the formation energy without anion corrections is -0.13 eV/atom. The total energy comes out at -20.0 eV/cell.

a b c (Å): 7.5036 7.5036 4.1080
angles (deg): 81.43 81.43 22.89
Closest atoms and distances in Å follow each position.
Positions (direct):
Tc 0.2500 0.2500 0.2500  4 Cl 2.53, 4 Si 2.54
Si 0.7500 0.7500 0.7500  2 Cl 2.53, 4 Tc 2.54
Cl 0.6135 0.6135 0.4425  2 Tc 2.53, 1 Si 2.53
Cl 0.8865 0.8865 0.0575  2 Tc 2.53, 1 Si 2.53


Entry 4:
This record from the Alexandria database describes Si2TcCl after structural relaxation. The functional is GGA-PBE.

The relative energy among the computed polymorphs is 0.588 eV/atom. Its total magnetization is 0.00 μB/cell. Its space group is F-43m. The value obtained for the density of states at the Fermi level is 3.61 states/eV/cell. The value obtained for the formation energy without anion corrections is 0.57 eV/atom. The total energy comes out at -20.8 eV/cell.

a b c (Å): 4.3770 4.3770 4.3770
angles (deg): 60.00 60.00 60.00
Closest atoms and distances in Å follow each position.
Positions (direct):
Cl 0.5000 0.5000 0.5000  4 Tc 2.68, 4 Si 2.68
Si 0.0000 0.0000 0.0000  4 Tc 2.68, 4 Si 2.68
Si 0.7500 0.7500 0.7500  4 Si 2.68, 4 Cl 2.68
Tc 0.2500 0.2500 0.2500  4 Cl 2.68, 4 Si 2.68


Entry 5:
This record from the Alexandria database describes SiTcCl2 after structural relaxation. The functional is GGA-PBE.

The relative energy among the computed polymorphs is 0.187 eV/atom. Its total magnetization is 0.00 μB/cell. Its space group is Immm. The value obtained for the density of states at the Fermi level is 1.26 states/eV/cell. The value obtained for the formation energy without anion corrections is -0.10 eV/atom. The total energy comes out at -19.9 eV/cell.

a b c (Å): 7.7815 7.7815 7.7815
angles (deg): 157.87 149.70 37.84
Closest atoms and distances in Å follow each position.
Positions (direct):
Tc 0.2500 0.7500 0.5000  4 Si 2.52, 4 Cl 2.53
Cl 0.1110 0.1110 0.0000  2 Tc 2.53
Cl 0.3890 0.3890 0.0000  2 Tc 2.53
Si 0.7500 0.2500 0.5000  4 Tc 2.52


Entry 6:
This record from the Alexandria database describes SiTc2Cl after structural relaxation. The functional is GGA-PBE.

The relative energy among the computed polymorphs is 0.330 eV/atom. Its total magnetization is 0.00 μB/cell. Its space group is Cmmm. The value obtained for the density of states at the Fermi level is 4.24 states/eV/cell. The value obtained for the formation energy without anion corrections is 0.32 eV/atom. The total energy comes out at -26.7 eV/cell.

a b c (Å): 2.9181 2.9181 7.9733
angles (deg): 90.00 90.00 117.18
Closest atoms and distances in Å follow each position.
Positions (direct):
Cl 0.5000 0.5000 0.2500  4 Tc 2.63, 4 Cl 2.92
Si 0.5000 0.5000 0.7500  4 Tc 2.38
Tc 0.0000 0.0000 0.9804  2 Si 2.38, 2 Cl 2.63
Tc 0.0000 0.0000 0.5196  2 Si 2.38, 2 Cl 2.63


Entry 7:
This record from the Alexandria database describes SiTcCl after structural relaxation. The functional is GGA-PBE.

The relative energy among the computed polymorphs is 0.812 eV/atom. Its total magnetization is 0.00 μB/cell. Its space group is Fmm2. The value obtained for the density of states at the Fermi level is 1.84 states/eV/cell. The value obtained for the formation energy without anion corrections is 0.36 eV/atom. The total energy comes out at -16.6 eV/cell.

a b c (Å): 6.5577 6.2230 3.0190
angles (deg): 82.60 70.23 27.16
Closest atoms and distances in Å follow each position.
Positions (direct):
Si 0.3213 0.3213 0.6787  2 Tc 2.34
Cl 0.0029 0.0029 0.9971  2 Tc 2.60, 2 Si 2.69
Tc 0.6758 0.6758 0.3242  2 Si 2.34, 2 Cl 2.60


Entry 8:
This record from the Alexandria database describes SiTcCl after structural relaxation. The functional is GGA-PBE.

The relative energy among the computed polymorphs is 0.000 eV/atom. Its total magnetization is 0.00 μB/cell. Its space group is Pmm2. The value obtained for the density of states at the Fermi level is 3.12 states/eV/cell. The value obtained for the formation energy without anion corrections is -0.46 eV/atom. The total energy comes out at -38.0 eV/cell.

a b c (Å): 3.0416 3.3051 11.2823
angles (deg): 90.00 90.00 90.00
Closest atoms and distances in Å follow each position.
Positions (direct):
Si 0.5000 0.5000 0.5868  6 Tc 2.43-2.45
Si 0.0000 0.5000 0.8471  1 Cl 2.06
Cl 0.0000 0.5000 0.0294  1 Si 2.06
Cl 0.5000 0.0000 0.3348  2 Tc 2.40
Tc 0.5000 0.0000 0.7444  6 Si 2.43-2.53
Tc 0.0000 0.0000 0.4991  2 Cl 2.40, 4 Si 2.45


Entry 9:
This record from the Alexandria database describes SiTcCl4 after structural relaxation. The functional is GGA-PBE.

Its total magnetization is 5.15 μB/cell. Its space group is F-43m. The value obtained for the density of states at the Fermi level is 6.67 states/eV/cell. The value obtained for the formation energy without anion corrections is 1.22 eV/atom. The total energy comes out at -15.9 eV/cell.

a b c (Å): 5.7823 5.7823 5.7823
angles (deg): 60.00 60.00 60.00
Closest atoms and distances in Å follow each position.
Positions (direct):
Cl 0.3742 0.3742 0.8774  6 Cl 2.87-2.91
Cl 0.8774 0.3742 0.3742  6 Cl 2.87-2.91
Cl 0.3742 0.8774 0.3742  6 Cl 2.87-2.91
Cl 0.3742 0.3742 0.3742  6 Cl 2.87-2.91
Tc 0.0000 0.0000 0.0000  12 Cl 3.39, 4 Si 3.54
Si 0.7500 0.7500 0.7500  12 Cl 3.39, 4 Tc 3.54


Entry 10:
This record from the Alexandria database describes SiTcCl after structural relaxation. The functional is GGA-PBE.

The relative energy among the computed polymorphs is 0.574 eV/atom. Its total magnetization is 0.00 μB/cell. Its space group is P3m1. The value obtained for the density of states at the Fermi level is 3.25 states/eV/cell. The value obtained for the formation energy without anion corrections is 0.12 eV/atom. The total energy comes out at -17.3 eV/cell.

a b c (Å): 3.1647 3.1647 5.6409
angles (deg): 90.00 90.00 120.00
Closest atoms and distances in Å follow each position.
Positions (direct):
Cl 0.0000 0.0000 0.9960  3 Tc 2.74, 3 Si 2.79
Tc 0.3333 0.6667 0.6336  3 Si 2.35
Si 0.6667 0.3333 0.3704  3 Tc 2.35


Entry 11:
This record from the Alexandria database describes SiTc2Cl after structural relaxation. The functional is GGA-PBE.

The relative energy among the computed polymorphs is 0.222 eV/atom. Its total magnetization is 0.00 μB/cell. Its space group is Pm. The value obtained for the density of states at the Fermi level is 1.90 states/eV/cell. The value obtained for the formation energy without anion corrections is 0.21 eV/atom. The total energy comes out at -27.2 eV/cell.

a b c (Å): 3.8742 2.8783 6.9228
angles (deg): 65.39 90.00 90.00
Closest atoms and distances in Å follow each position.
Positions (direct):
Si 0.5000 0.6478 0.8540  1 Tc 2.32
Cl 0.0000 0.5967 0.3993  1 Tc 2.36
Tc 0.5000 0.2783 0.2229  1 Si 2.32
Tc 0.0000 0.9773 0.0237  1 Cl 2.36, 4 Si 2.64


Entry 12:
This record from the Alexandria database describes SiTcCl after structural relaxation. The functional is GGA-PBE.

The relative energy among the computed polymorphs is 0.035 eV/atom. Its total magnetization is 0.00 μB/cell. Its space group is Cm. The value obtained for the density of states at the Fermi level is 4.07 states/eV/cell. The value obtained for the formation energy without anion corrections is -0.42 eV/atom. The total energy comes out at -75.6 eV/cell.

a b c (Å): 12.3940 3.1376 5.6862
angles (deg): 90.00 97.40 90.00
Closest atoms and distances in Å follow each position.
Positions (direct):
Si 0.3974 0.5000 0.3329  6 Tc 2.38-2.49
Si 0.1335 0.0000 0.7640  1 Cl 2.04
Si 0.3974 0.0000 0.8329  6 Tc 2.38-2.49
Si 0.1335 0.5000 0.2640  1 Cl 2.04
Tc 0.2628 0.0000 0.4698  6 Si 2.43-2.49
Tc 0.2628 0.5000 0.9698  6 Si 2.43-2.49
Tc 0.5243 0.0000 0.5513  3 Si 2.38-2.44, 2 Cl 2.42
Tc 0.5243 0.5000 0.0513  3 Si 2.38-2.44, 2 Cl 2.42
Cl 0.6725 0.5000 0.5445  2 Tc 2.42
Cl 0.9679 0.5000 0.2139  1 Si 2.04
Cl 0.9679 0.0000 0.7139  1 Si 2.04
Cl 0.6725 0.0000 0.0445  2 Tc 2.42


Entry 13:
This record from the Alexandria database describes Si2TcCl after structural relaxation. The functional is GGA-PBE.

The relative energy among the computed polymorphs is 0.111 eV/atom. Its total magnetization is 0.00 μB/cell. Its space group is P4mm. The value obtained for the density of states at the Fermi level is 2.75 states/eV/cell. The value obtained for the formation energy without anion corrections is 0.10 eV/atom. The total energy comes out at -22.7 eV/cell.

a b c (Å): 3.0924 3.0924 7.5565
angles (deg): 90.00 90.00 90.02
Closest atoms and distances in Å follow each position.
Positions (direct):
Si 0.0000 0.0000 0.1038  1 Tc 2.55, 4 Si 2.57
Si 0.5000 0.5000 0.2823  4 Tc 2.49, 4 Si 2.57
Cl 0.5000 0.5000 0.6733  4 Tc 2.81, 1 Si 2.95, 4 Cl 3.09
Tc 0.0000 0.0000 0.4406  5 Si 2.49-2.55


Entry 14:
This record from the Alexandria database describes SiTcCl2 after structural relaxation. The functional is GGA-PBE.

The relative energy among the computed polymorphs is 0.372 eV/atom. Its total magnetization is 0.00 μB/cell. Its space group is Cmm2. The value obtained for the density of states at the Fermi level is 4.12 states/eV/cell. The value obtained for the formation energy without anion corrections is 0.08 eV/atom. The total energy comes out at -19.1 eV/cell.

a b c (Å): 3.2028 3.2028 9.2247
angles (deg): 90.00 90.00 122.63
Closest atoms and distances in Å follow each position.
Positions (direct):
Si 0.0000 0.0000 0.5256  2 Tc 2.38, 2 Cl 2.41
Cl 0.0000 0.0000 0.9275  2 Tc 2.44
Cl 0.5000 0.5000 0.3243  2 Si 2.41
Tc 0.5000 0.5000 0.7226  2 Si 2.38, 2 Cl 2.44


Entry 15:
This record from the Alexandria database describes SiTcCl2 after structural relaxation. The functional is GGA-PBE.

The relative energy among the computed polymorphs is 1.123 eV/atom. Its total magnetization is 0.86 μB/cell. Its space group is P4/mmm. The value obtained for the density of states at the Fermi level is 3.10 states/eV/cell. The value obtained for the formation energy without anion corrections is 0.83 eV/atom. The total energy comes out at -16.1 eV/cell.

a b c (Å): 4.5986 4.5986 3.0946
angles (deg): 90.00 90.00 90.02
Closest atoms and distances in Å follow each position.
Positions (direct):
Si 0.5000 0.0000 0.5000  8 Cl 2.77, 2 Si 3.09
Tc 0.0000 0.5000 0.5000  8 Cl 2.77, 2 Tc 3.09
Cl 0.5000 0.5000 0.0000  4 Si 2.77, 4 Tc 2.77, 2 Cl 3.09
Cl 0.0000 0.0000 0.0000  4 Tc 2.77, 4 Si 2.77, 2 Cl 3.09